Crystalline TmUTc at its relaxed geometry. Source: OQMD via LeMat-Bulk, functional GGA-PBE.

Properties
E above lowest polymorph (kJ/mol of atoms): 0.0
Raw total energy (eV/f.u.): -23.17
Formation energy from the elements (meV per atom): 987.8
ρ (g/cm3): 12.2
Space-group type: F-43m

Geometry as POSCAR:
```
TmUTc
1.0
0.0000 3.2489 3.2489
3.2489 0.0000 3.2489
3.2489 3.2489 0.0000
Tm U Tc
1 1 1
direct
0.0000 0.0000 0.0000
0.7500 0.7500 0.7500
0.5000 0.5000 0.5000
```